Record 1
Entry from Alexandria via LeMat-Bulk: a geometry-optimized NiSb2Au structure (PBE).

Output
Uncorrected formation energy   0.2161 eV/atom
Uncorrected energy   -16.4 eV per formula unit
Mass density   10.22 Mg/m³

The structure in CIF format:
```
data_NiSb2Au
_space_group_name_H-M_alt 'F m -3 m'
_space_group_IT_number 225
_space_group_name_Hall '-F 4 2 3'
_cell_length_a 6.8722
_cell_length_b 6.8722
_cell_length_c 6.8722
_cell_angle_alpha 90.00
_cell_angle_beta 90.00
_cell_angle_gamma 90.00
loop_
_atom_site_label
_atom_site_type_symbol
_atom_site_fract_x
_atom_site_fract_y
_atom_site_fract_z
Ni1 Ni 0.0000 0.0000 0.0000
Sb1 Sb 0.2500 0.2500 0.2500
Au1 Au 0.0000 0.0000 0.5000
```

Record 2
Entry from Alexandria via LeMat-Bulk: a geometry-optimized Er5Tl2O structure (PBE).

Output
Uncorrected formation energy   -0.6359 eV/atom
Uncorrected energy   -37.6 eV per formula unit
Mass density   8.85 Mg/m³

The structure in CIF format:
```
data_Er5Tl2O
_space_group_name_H-M_alt 'C m c m'
_space_group_IT_number 63
_space_group_name_Hall '-C 2c 2'
_cell_length_a 3.5639
_cell_length_b 20.9401
_cell_length_c 12.6845
_cell_angle_alpha 90.00
_cell_angle_beta 90.00
_cell_angle_gamma 90.00
loop_
_atom_site_label
_atom_site_type_symbol
_atom_site_fract_x
_atom_site_fract_y
_atom_site_fract_z
Er1 Er 0.0000 0.0839 0.1027
Er2 Er 0.0000 0.3000 0.7500
Er3 Er 0.0000 0.3116 0.0602
Tl1 Tl 0.0000 0.0652 0.6366
O1 O 0.0000 0.1349 0.2500
```

Record 3
Entry from Alexandria via LeMat-Bulk: a geometry-optimized CsTeS6 structure (PBE).

Output
Uncorrected formation energy   -0.0141 eV/atom
Uncorrected energy   -28.9 eV per formula unit
Mass density   2.69 Mg/m³

The structure in CIF format:
```
data_CsTeS6
_space_group_name_H-M_alt 'C 1 2/m 1'
_space_group_IT_number 12
_cell_length_a 16.4624
_cell_length_b 5.1297
_cell_length_c 6.7641
_cell_angle_alpha 90.00
_cell_angle_beta 101.90
_cell_angle_gamma 90.00
loop_
_space_group_symop_operation_xyz
'x,y,z'
'-x,-y,-z'
'-x,y,-z'
'x,-y,z'
'x+1/2,y+1/2,z'
'-x+1/2,-y+1/2,-z'
'-x+1/2,y+1/2,-z'
'x+1/2,-y+1/2,z'
loop_
_atom_site_label
_atom_site_type_symbol
_atom_site_fract_x
_atom_site_fract_y
_atom_site_fract_z
Cs1 Cs 0.0000 0.0000 0.0000
Te1 Te 0.0000 0.5000 0.5000
S1 S 0.0639 0.0000 0.5355
S2 S 0.2289 0.1906 0.1580
```